No. 1
Ho3Ga7Ir2: relaxed, PBE.

density	9.74	Mg/m³
spin magnetization	0.000	μB/atom
DOS at the Fermi energy	5.940	states/eV/f.u.
ΔE_f	-0.661	eV/atom

Lattice parameters (Å, degrees): 4.1824 4.1691 13.5302 90.00 98.78 90.00
Space group P2/m (No. 10)
Asymmetric unit:
Ho  0.0000  0.0000  0.0000 [1 per cell]
Ho  0.3197  0.5000  0.6408 [2 per cell]
Ga  0.0808  0.5000  0.1617 [2 per cell]
Ga  0.2240  0.0000  0.4479 [2 per cell]
Ga  0.4198  0.0000  0.8384 [2 per cell]
Ga  0.5000  0.5000  0.0000 [1 per cell]
Ir  0.1307  0.0000  0.2636 [2 per cell]


No. 2
Ac3ThIr2: relaxed, PBE.

density	9.56	Mg/m³
spin magnetization	0.000	μB/atom
DOS at the Fermi energy	4.872	states/eV/f.u.
ΔE_f	-0.568	eV/atom

Lattice parameters (Å, degrees): 15.6975 4.3340 15.0592 90.00 118.35 90.00
Space group C2/m (No. 12)
Asymmetric unit:
Ac  0.1312  0.0000  0.4842 [4 per cell]
Ac  0.1320  0.5000  0.2365 [4 per cell]
Ac  0.1353  0.0000  0.9832 [4 per cell]
Th  0.1509  0.5000  0.7388 [4 per cell]
Ir  0.2457  0.0000  0.8676 [4 per cell]
Ir  0.2475  0.5000  0.6260 [4 per cell]


No. 3
CeNd4Th3N8: relaxed, PBE.

ΔE_f (raw)	-1.507	eV per atom
density	9.21	Mg/m³
spin magnetization	0.025	μB/atom
DOS at the Fermi energy	6.106	states/eV/f.u.

Lattice parameters (Å, degrees): 7.3036 7.3036 17.8488 90.00 90.00 120.00
Space group R-3m (No. 166, hexagonal axes)
Asymmetric unit:
Ce  0.0000  0.0000  0.0000 [3 per cell]
Nd  0.0000  0.0000  0.5000 [3 per cell]
Nd  0.0000  0.5000  0.5000 [9 per cell]
Th  0.0000  0.5000  0.0000 [9 per cell]
N  0.0000  0.0000  0.2550 [6 per cell]
N  0.0003  0.5001  0.2551 [18 per cell]


No. 4
Pr2ErH: relaxed, PBE.

density	7.20	Mg/m³
spin magnetization	0.000	μB/atom
polymorph energy (0 for the lowest one)	221.8	meV/atom
DOS at the Fermi energy	4.204	states/eV/f.u.

Lattice parameters (Å, degrees): 3.4644 3.4644 8.6436 90.00 90.00 90.00
Space group P4/mmm (No. 123)
Asymmetric unit:
Pr  0.0000  0.0000  0.1918 [2 per cell]
Er  0.5000  0.5000  0.5000 [1 per cell]
H  0.5000  0.5000  0.0000 [1 per cell]


No. 5
CaMg3Al: relaxed, PBE.

density	1.12	Mg/m³
spin magnetization	0.000	μB/atom
polymorph energy (0 for the lowest one)	1149.4	meV/atom
DOS at the Fermi energy	7.623	states/eV/f.u.
ΔE_f	1.093	eV/atom

Lattice parameters (Å, degrees): 5.9287 5.9287 5.9287 90.00 90.00 90.00
Space group Pm-3m (No. 221)
Asymmetric unit:
Ca  0.0000  0.0000  0.0000 [1 per cell]
Mg  0.0000  0.0000  0.5000 [3 per cell]
Al  0.5000  0.5000  0.5000 [1 per cell]


No. 6
TiIn2Ge2: relaxed, PBE.

density	6.74	Mg/m³
spin magnetization	0.000	μB/atom
DOS at the Fermi energy	3.851	states/eV/f.u.
ΔE_f	0.067	eV/atom

Lattice parameters (Å, degrees): 6.9899 6.9899 4.2644 90.00 90.00 90.00
Space group P4/mbm (No. 127)
Asymmetric unit:
Ti  0.0000  0.0000  0.0000 [2 per cell]
In  0.1748  0.3252  0.5000 [4 per cell]
Ge  0.1381  0.6381  0.0000 [4 per cell]


No. 7
CaZrNbO6: relaxed, PBE.

ΔE_f (raw)	-2.702	eV per atom
density	4.25	Mg/m³
spin magnetization	0.113	μB/atom
DOS at the Fermi energy	3.745	states/eV/f.u.

Lattice parameters (Å, degrees): 5.0189 5.0189 9.9285 90.00 90.00 90.00
Space group P4_2nm (No. 102)
Asymmetric unit:
Ca  0.0000  0.0000  0.0000 [2 per cell]
Zr  0.0000  0.0000  0.6619 [2 per cell]
Nb  0.0000  0.0000  0.3371 [2 per cell]
O  0.1796  0.1796  0.4914 [4 per cell]
O  0.2047  0.2047  0.1920 [4 per cell]
O  0.2179  0.2179  0.8104 [4 per cell]


No. 8
Hf2ZrAg: relaxed, PBE.

density	10.96	Mg/m³
spin magnetization	0.000	μB/atom
polymorph energy (0 for the lowest one)	111.4	meV/atom
DOS at the Fermi energy	5.000	states/eV/f.u.
ΔE_f	0.075	eV/atom

Lattice parameters (Å, degrees): 4.3992 4.3992 4.3524 90.00 90.00 90.00
Space group P4/mmm (No. 123)
Asymmetric unit:
Hf  0.0000  0.5000  0.0000 [2 per cell]
Zr  0.0000  0.0000  0.5000 [1 per cell]
Ag  0.5000  0.5000  0.5000 [1 per cell]


No. 9
La2GdAg: relaxed, PBE.

density	7.39	Mg/m³
spin magnetization	1.927	μB/atom
polymorph energy (0 for the lowest one)	152.3	meV/atom
DOS at the Fermi energy	7.004	states/eV/f.u.
ΔE_f	0.047	eV/atom

Lattice parameters (Å, degrees): 7.8733 7.8733 7.8733 90.00 90.00 90.00
Space group Fm-3m (No. 225)
Asymmetric unit:
La  0.2500  0.2500  0.2500 [8 per cell]
Gd  0.0000  0.0000  0.0000 [4 per cell]
Ag  0.0000  0.0000  0.5000 [4 per cell]


No. 10
Ga3AgPd: relaxed, PBE.

density	6.20	Mg/m³
spin magnetization	0.000	μB/atom
polymorph energy (0 for the lowest one)	257.1	meV/atom
DOS at the Fermi energy	1.763	states/eV/f.u.
ΔE_f	0.046	eV/atom

Lattice parameters (Å, degrees): 4.8397 4.8397 4.8397 90.00 90.00 90.00
Space group Pm-3m (No. 221)
Asymmetric unit:
Ga  0.0000  0.0000  0.5000 [3 per cell]
Ag  0.5000  0.5000  0.5000 [1 per cell]
Pd  0.0000  0.0000  0.0000 [1 per cell]


No. 11
Pr3Sm6Dy2Th: relaxed, PBE.

density	7.68	Mg/m³
spin magnetization	0.000	μB/atom
DOS at the Fermi energy	17.090	states/eV/f.u.
ΔE_f	0.026	eV/atom

Lattice parameters (Å, degrees): 6.2904 10.8776 12.0777 90.00 99.97 90.00
Space group C2/m (No. 12)
Asymmetric unit:
Pr  0.0000  0.0000  0.0000 [2 per cell]
Pr  0.0000  0.3331  0.0000 [4 per cell]
Sm  0.2469  0.3351  0.7448 [8 per cell]
Sm  0.2477  0.5000  0.2549 [4 per cell]
Dy  0.0000  0.1665  0.5000 [4 per cell]
Th  0.0000  0.5000  0.5000 [2 per cell]


No. 12
AgSbRu2: relaxed, PBE.

ΔE_f (raw)	0.373	eV per atom
density	10.71	Mg/m³
spin magnetization	0.000	μB/atom
DOS at the Fermi energy	2.281	states/eV/f.u.

Lattice parameters (Å, degrees): 8.7200 3.0503 5.1635 90.00 102.79 90.00
Space group C2/m (No. 12)
Asymmetric unit:
Ag  0.0000  0.0000  0.0000 [2 per cell]
Sb  0.0000  0.5000  0.5000 [2 per cell]
Ru  0.2410  0.0000  0.7413 [4 per cell]


No. 13
Pr3Dy6YTh2: relaxed, PBE.

density	8.26	Mg/m³
spin magnetization	0.000	μB/atom
DOS at the Fermi energy	16.056	states/eV/f.u.
ΔE_f	0.020	eV/atom

Lattice parameters (Å, degrees): 6.2348 10.7912 11.8483 90.00 100.11 90.00
Space group C2/m (No. 12)
Asymmetric unit:
Pr  0.0000  0.0000  0.0000 [2 per cell]
Pr  0.0000  0.3336  0.0000 [4 per cell]
Dy  0.2434  0.0000  0.7447 [4 per cell]
Dy  0.2493  0.1691  0.2557 [8 per cell]
Y  0.0000  0.5000  0.5000 [2 per cell]
Th  0.0000  0.1665  0.5000 [4 per cell]


No. 14
Ti6MnIr2: relaxed, PBE.

density	7.53	Mg/m³
spin magnetization	0.000	μB/atom
DOS at the Fermi energy	12.104	states/eV/f.u.
ΔE_f	-0.238	eV/atom

Lattice parameters (Å, degrees): 4.3081 5.9954 12.3993 90.00 90.00 90.00
Space group Immm (No. 71)
Asymmetric unit:
Ti  0.0000  0.2380  0.0000 [4 per cell]
Ti  0.0000  0.2567  0.3391 [8 per cell]
Mn  0.0000  0.5000  0.5000 [2 per cell]
Ir  0.0000  0.5000  0.1666 [4 per cell]


No. 15
YCoB2Ir: relaxed, PBE.

density	9.18	Mg/m³
spin magnetization	0.000	μB/atom
DOS at the Fermi energy	1.764	states/eV/f.u.
ΔE_f	-0.626	eV/atom

Lattice parameters (Å, degrees): 3.7028 3.7028 9.5459 90.00 90.00 90.00
Space group I-4m2 (No. 119)
Asymmetric unit:
Y  0.0000  0.0000  0.0000 [2 per cell]
Co  0.0000  0.5000  0.2500 [2 per cell]
B  0.0000  0.0000  0.3548 [4 per cell]
Ir  0.0000  0.5000  0.7500 [2 per cell]


No. 16
LiBe2GaSe4: relaxed, PBE.

ΔE_f (raw)	-0.820	eV per atom
density	4.21	Mg/m³
spin magnetization	0.000	μB/atom
DOS at the Fermi energy	0.000	states/eV/f.u.

Lattice parameters (Å, degrees): 5.4283 5.4283 10.9834 90.00 90.00 90.00
Space group I-42m (No. 121)
Asymmetric unit:
Li  0.0000  0.0000  0.0000 [2 per cell]
Be  0.0000  0.5000  0.2500 [4 per cell]
Ga  0.0000  0.0000  0.5000 [2 per cell]
Se  0.2490  0.2490  0.3619 [8 per cell]


No. 17
Zn8AgAu2: relaxed, PBE.

density	9.33	Mg/m³
spin magnetization	0.000	μB/atom
polymorph energy (0 for the lowest one)	44.7	meV/atom
DOS at the Fermi energy	2.493	states/eV/f.u.
ΔE_f	-0.054	eV/atom

Lattice parameters (Å, degrees): 13.7951 5.1824 5.1102 90.00 93.07 90.00
Space group C2/m (No. 12)
Asymmetric unit:
Zn  0.0788  0.0000  0.3914 [4 per cell]
Zn  0.0895  0.2492  0.9023 [8 per cell]
Zn  0.2063  0.5000  0.3439 [4 per cell]
Ag  0.0000  0.5000  0.5000 [2 per cell]
Au  0.2415  0.0000  0.1615 [4 per cell]


No. 18
Pu2UPd: relaxed, PBE.

density	15.09	Mg/m³
spin magnetization	0.812	μB/atom
polymorph energy (0 for the lowest one)	118.8	meV/atom
DOS at the Fermi energy	14.830	states/eV/f.u.
ΔE_f	0.060	eV/atom

Lattice parameters (Å, degrees): 3.6665 3.6665 23.5997 90.00 90.00 120.00
Space group R3m (No. 160, hexagonal axes)
Asymmetric unit:
Pu  0.0000  0.0000  0.0000 [3 per cell]
Pu  0.0000  0.0000  0.1662 [3 per cell]
U  0.0000  0.0000  0.4443 [3 per cell]
Pd  0.0000  0.0000  0.5830 [3 per cell]


No. 19
Er2Mg2Cd: relaxed, PBE.

density	6.44	Mg/m³
spin magnetization	0.000	μB/atom
polymorph energy (0 for the lowest one)	14.6	meV/atom
DOS at the Fermi energy	5.380	states/eV/f.u.
ΔE_f	-0.086	eV/atom

Lattice parameters (Å, degrees): 4.9621 15.3516 3.3573 90.00 90.00 90.00
Space group Cmmm (No. 65)
Asymmetric unit:
Er  0.0000  0.1073  0.0000 [4 per cell]
Mg  0.0000  0.2996  0.5000 [4 per cell]
Cd  0.0000  0.5000  0.5000 [2 per cell]


No. 20
Cd5InAu6: relaxed, PBE.

density	13.09	Mg/m³
spin magnetization	0.000	μB/atom
polymorph energy (0 for the lowest one)	0.0	meV/atom
DOS at the Fermi energy	2.518	states/eV/f.u.
ΔE_f	-0.165	eV/atom

Lattice parameters (Å, degrees): 14.5635 6.7164 4.8936 90.00 99.99 90.00
Space group C2/m (No. 12)
Asymmetric unit:
Cd  0.0000  0.0000  0.0000 [2 per cell]
Cd  0.1656  0.0000  0.6657 [4 per cell]
Cd  0.1699  0.5000  0.6651 [4 per cell]
In  0.0000  0.5000  0.0000 [2 per cell]
Au  0.0000  0.2524  0.5000 [4 per cell]
Au  0.1665  0.2513  0.1646 [8 per cell]